CuSi3Pb | Alexandria | PBE | optimized geometry; symmetry = Pm-3m; formation energy (no corrections) = 656 meV per atom; raw total energy = -20.792 eV for the cell shown; energy relative to the lowest polymorph listed for this composition = 0 kJ/mol of formula units; crystal system = cubic
1.0
4.664 0.000 0.000
0.000 4.664 0.000
0.000 0.000 4.664
Cu Si Pb
1 3 1
direct
0.000 0.000 0.000 Cu
0.000 0.000 0.500 Si
0.000 0.500 0.000 Si
0.500 0.000 0.000 Si
0.500 0.500 0.500 Pb